# 1
Below is an optimized crystal structure of Hg3BiH, with properties calculated at the PBE-GGA level.

Summary:
* space-group type: Pm-3m, No. 221

abc: 4.7925 4.7925 4.7925
angles: 90.00 90.00 90.00
Fractional coordinates of all 5 atoms:
Bi  0.5000  0.5000  0.5000
Hg  0.0000  0.0000  0.5000
Hg  0.0000  0.5000  0.0000
Hg  0.5000  0.0000  0.0000
H  0.0000  0.0000  0.0000



# 2
Below is an optimized crystal structure of HgBi2H3, with properties calculated at the PBE-GGA level.

Summary:
* space-group type: C2/c, No. 15

abc: 4.4641 7.6199 9.5300
angles: 66.44 90.01 90.02
Fractional coordinates of all 12 atoms:
H  0.7651  0.9950  0.1071
H  0.2349  0.0050  0.8929
H  0.7500  0.1782  0.6436
H  0.7349  0.8979  0.1071
H  0.2651  0.1021  0.8929
H  0.2500  0.8218  0.3564
Hg  0.7500  0.4331  0.1338
Hg  0.2500  0.5669  0.8662
Bi  0.7500  0.4617  0.6182
Bi  0.2500  0.0799  0.3818
Bi  0.2500  0.5383  0.3818
Bi  0.7500  0.9201  0.6182



# 3
Below is an optimized crystal structure of HgBi2H, with properties calculated at the PBE-GGA level.

Summary:
* space-group type: Fm-3m, No. 225

abc: 5.1039 5.1039 5.1039
angles: 60.00 60.00 60.00
Fractional coordinates of all 4 atoms:
Bi  0.2500  0.2500  0.2500
Bi  0.7500  0.7500  0.7500
Hg  0.5000  0.5000  0.5000
H  0.0000  0.0000  0.0000



# 4
Below is an optimized crystal structure of HgBiH3, with properties calculated at the PBE-GGA level.

Summary:
* space-group type: Pm-3m, No. 221

abc: 4.3055 4.3055 4.3055
angles: 90.00 90.00 90.00
Fractional coordinates of all 5 atoms:
H  0.0000  0.0000  0.5000
H  0.0000  0.5000  0.0000
H  0.5000  0.0000  0.0000
Bi  0.0000  0.0000  0.0000
Hg  0.5000  0.5000  0.5000



# 5
Below is an optimized crystal structure of Hg2Bi2H, with properties calculated at the PBE-GGA level.

Summary:
* space-group type: P-1, No. 2

abc: 3.3253 3.3083 13.0926
angles: 86.84 110.78 84.04
Fractional coordinates of all 5 atoms:
H  0.0000  0.0000  0.0000
Bi  0.0357  0.5452  0.6257
Bi  0.9643  0.4549  0.3743
Hg  0.6789  0.1708  0.8506
Hg  0.3211  0.8292  0.1494



# 6
Below is an optimized crystal structure of HgBiH, with properties calculated at the PBE-GGA level.

Summary:
* space-group type: C2/m, No. 12

abc: 3.7695 6.5240 6.0737
angles: 70.71 90.00 106.79
Fractional coordinates of all 6 atoms:
Bi  0.2259  0.4518  0.2088
Bi  0.7741  0.5482  0.7912
H  0.0275  0.0550  0.7264
H  0.9725  0.9450  0.2736
Hg  0.4626  0.9252  0.2809
Hg  0.5374  0.0748  0.7191



N(E_F), record by record: 0.555 0.101 0.713 0.080 0.267 0.345 states/eV per atom
Electronic total energy, record by record: -1.24 -2.89 -2.35 -2.38 -2.17 -2.19 eV per atom